Compound: KScCuSe3
Source: OQMD via LeMat-Bulk
Functional: PBE-GGA
Structure: optimized geometry

The total energy comes out at -4.72 eV/atom. Its mass density is 4205 kg/m3.

The space group is Pnma (No. 62) and the conventional cell measures 15.2548, 3.8727 and 10.2813 Å, with angles of 90.00, 90.00 and 90.00 degrees. The inequivalent atoms are K at (0.2346, 0.2500, 0.0402), Sc at (0.0187, 0.2500, 0.3423), Cu at (0.0113, 0.7500, 0.0941), Se at (0.0856, 0.7500, 0.8809), Se at (0.0950, 0.2500, 0.5771) and Se at (0.1275, 0.7500, 0.2549).